## TiSn3H (PBE-GGA)

Data for a geometry-optimized TiSn3H structure.

Cell: 5.294 5.294 5.294 Å, 90.00 90.00 90.00°
Fractional coordinates of all 5 atoms:
Ti 0.000 0.000 0.000
Sn 0.000 0.000 0.500
Sn 0.000 0.500 0.000
Sn 0.500 0.000 0.000
H 0.500 0.500 0.500

Summary:
The calculation puts the density of states at the Fermi level at 2.5 states/eV/f.u. The total energy is -20.165 eV/cell. The total moment comes out at 0.206 μB/atom.